Below is crystalline Na2CaTa at its relaxed geometry, with properties calculated at the PBE level.

The structure in CIF format:
```
data_Na2CaTa
_cell_length_a 7.014
_cell_length_b 7.014
_cell_length_c 7.014
_cell_angle_alpha 101.88
_cell_angle_beta 101.88
_cell_angle_gamma 126.03
_symmetry_space_group_name_H-M 'P 1'
_symmetry_Int_Tables_number 1
loop_
_symmetry_equiv_pos_as_xyz
'x,y,z'
loop_
_atom_site_label
_atom_site_fract_x
_atom_site_fract_y
_atom_site_fract_z
Na1 0.112 0.625 0.987
Na2 0.375 0.362 0.487
Na3 0.638 0.125 0.013
Na4 0.875 0.888 0.513
Ca1 0.250 0.750 0.500
Ca2 0.500 0.500 0.000
Ta1 0.000 0.000 0.000
Ta2 0.750 0.250 0.500
```

Output
Total magnetization   7.68 μB/cell
E_form   1274.8 meV/atom
Calculated volume   248.7 Å³ per cell

=====

Below is crystalline Y3VTc at its relaxed geometry, with properties calculated at the PBE level.

The structure in CIF format:
```
data_Y3VTc
_cell_length_a 5.287
_cell_length_b 5.287
_cell_length_c 5.287
_cell_angle_alpha 90.00
_cell_angle_beta 90.00
_cell_angle_gamma 90.00
_symmetry_space_group_name_H-M 'P 1'
_symmetry_Int_Tables_number 1
loop_
_symmetry_equiv_pos_as_xyz
'x,y,z'
loop_
_atom_site_label
_atom_site_fract_x
_atom_site_fract_y
_atom_site_fract_z
Y1 0.000 0.000 0.500
Y2 0.000 0.500 0.000
Y3 0.500 0.000 0.000
V1 0.500 0.500 0.500
Tc1 0.000 0.000 0.000
```

Output
Total magnetization   3.61 μB/cell
E_form   579.9 meV/atom
Calculated volume   147.8 Å³ per cell

=====

Below is crystalline SmZn2Au8 at its relaxed geometry, with properties calculated at the PBE level.

The structure in CIF format:
```
data_SmZn2Au8
_cell_length_a 5.569
_cell_length_b 5.569
_cell_length_c 8.191
_cell_angle_alpha 90.00
_cell_angle_beta 90.00
_cell_angle_gamma 90.00
_symmetry_space_group_name_H-M 'P 1'
_symmetry_Int_Tables_number 1
loop_
_symmetry_equiv_pos_as_xyz
'x,y,z'
loop_
_atom_site_label
_atom_site_fract_x
_atom_site_fract_y
_atom_site_fract_z
Sm1 0.000 0.000 0.000
Zn1 0.000 0.500 0.500
Zn2 0.500 0.000 0.500
Au1 0.254 0.254 0.276
Au2 0.254 0.254 0.724
Au3 0.254 0.746 0.276
Au4 0.254 0.746 0.724
Au5 0.746 0.254 0.276
Au6 0.746 0.254 0.724
Au7 0.746 0.746 0.276
Au8 0.746 0.746 0.724
```

Output
Total magnetization   0.00 μB/cell
E_form   -133.6 meV/atom
Calculated volume   254.0 Å³ per cell

=====

Below is crystalline TmRuPb2O8 at its relaxed geometry, with properties calculated at the PBE level.

The structure in CIF format:
```
data_TmRuPb2O8
_cell_length_a 4.979
_cell_length_b 6.667
_cell_length_c 4.992
_cell_angle_alpha 90.00
_cell_angle_beta 90.21
_cell_angle_gamma 90.00
_symmetry_space_group_name_H-M 'P 1'
_symmetry_Int_Tables_number 1
loop_
_symmetry_equiv_pos_as_xyz
'x,y,z'
loop_
_atom_site_label
_atom_site_fract_x
_atom_site_fract_y
_atom_site_fract_z
Tm1 0.000 0.000 0.000
Ru1 0.000 0.500 0.000
Pb1 0.500 0.254 0.500
Pb2 0.500 0.746 0.500
O1 0.185 0.277 0.182
O2 0.185 0.723 0.182
O3 0.284 0.500 0.713
O4 0.306 0.000 0.691
O5 0.694 0.000 0.309
O6 0.716 0.500 0.287
O7 0.815 0.277 0.818
O8 0.815 0.723 0.818
```

Output
Formation energy from raw total energies   -1393 meV per atom
Total magnetization   2.70 μB/cell
Calculated volume   165.7 Å³ per cell

=====

Below is crystalline Th2PaFe at its relaxed geometry, with properties calculated at the PBE level.

The structure in CIF format:
```
data_Th2PaFe
_cell_length_a 10.086
_cell_length_b 10.086
_cell_length_c 10.086
_cell_angle_alpha 20.28
_cell_angle_beta 20.28
_cell_angle_gamma 20.28
_symmetry_space_group_name_H-M 'P 1'
_symmetry_Int_Tables_number 1
loop_
_symmetry_equiv_pos_as_xyz
'x,y,z'
loop_
_atom_site_label
_atom_site_fract_x
_atom_site_fract_y
_atom_site_fract_z
Th1 0.109 0.109 0.109
Th2 0.891 0.891 0.891
Pa1 0.000 0.000 0.000
Fe1 0.500 0.500 0.500
```

Output
Total magnetization   0.13 μB/cell
E_form   477.4 meV/atom
Calculated volume   107.9 Å³ per cell

=====

Below is crystalline Rb2NiHSe2 at its relaxed geometry, with properties calculated at the PBE level.

The structure in CIF format:
```
data_Rb2NiHSe2
_cell_length_a 8.608
_cell_length_b 8.608
_cell_length_c 8.608
_cell_angle_alpha 109.31
_cell_angle_beta 85.26
_cell_angle_gamma 138.76
_symmetry_space_group_name_H-M 'P 1'
_symmetry_Int_Tables_number 1
loop_
_symmetry_equiv_pos_as_xyz
'x,y,z'
loop_
_atom_site_label
_atom_site_fract_x
_atom_site_fract_y
_atom_site_fract_z
Rb1 0.119 0.172 0.290
Rb2 0.381 0.672 0.053
Rb3 0.619 0.328 0.947
Rb4 0.881 0.828 0.710
Ni1 0.250 0.750 0.500
Ni2 0.750 0.250 0.500
H1 0.250 0.250 0.000
H2 0.750 0.750 0.000
Se1 0.102 0.618 0.720
Se2 0.398 0.118 0.516
Se3 0.602 0.882 0.484
Se4 0.898 0.382 0.280
```

Output
Total magnetization   0.29 μB/cell
Total DFT energy (no corrections)   -40.666 eV/cell
Calculated volume   382.5 Å³ per cell

=====

Below is crystalline Cu6Se4S at its relaxed geometry, with properties calculated at the PBE level.

The structure in CIF format:
```
data_Cu6Se4S
_cell_length_a 6.864
_cell_length_b 6.864
_cell_length_c 11.571
_cell_angle_alpha 107.47
_cell_angle_beta 107.47
_cell_angle_gamma 54.76
_symmetry_space_group_name_H-M 'P 1'
_symmetry_Int_Tables_number 1
loop_
_symmetry_equiv_pos_as_xyz
'x,y,z'
loop_
_atom_site_label
_atom_site_fract_x
_atom_site_fract_y
_atom_site_fract_z
Cu1 0.006 0.994 0.500
Cu2 0.016 0.519 0.649
Cu3 0.263 0.686 0.827
Cu4 0.295 0.984 0.358
Cu5 0.377 0.562 0.580
Cu6 0.519 0.016 0.149
Cu7 0.555 0.996 0.717
Cu8 0.562 0.377 0.080
Cu9 0.686 0.263 0.327
Cu10 0.984 0.295 0.858
Cu11 0.994 0.006 0.000
Cu12 0.996 0.555 0.217
Se1 0.219 0.353 0.051
Se2 0.233 0.945 0.711
Se3 0.284 0.646 0.359
Se4 0.353 0.219 0.551
Se5 0.646 0.284 0.859
Se6 0.705 0.889 0.340
Se7 0.889 0.705 0.840
Se8 0.945 0.233 0.211
S1 0.401 0.757 0.036
S2 0.757 0.401 0.536
```

Output
Formation energy from raw total energies   -71 meV per atom
Total magnetization   0.00 μB/cell
Calculated volume   419.1 Å³ per cell

=====

Below is crystalline PmSc4Ag at its relaxed geometry, with properties calculated at the PBE level.

The structure in CIF format:
```
data_PmSc4Ag
_cell_length_a 9.973
_cell_length_b 9.973
_cell_length_c 6.045
_cell_angle_alpha 90.00
_cell_angle_beta 90.00
_cell_angle_gamma 149.51
_symmetry_space_group_name_H-M 'P 1'
_symmetry_Int_Tables_number 1
loop_
_symmetry_equiv_pos_as_xyz
'x,y,z'
loop_
_atom_site_label
_atom_site_fract_x
_atom_site_fract_y
_atom_site_fract_z
Pm1 0.063 0.937 0.500
Pm2 0.937 0.063 0.000
Sc1 0.141 0.859 0.005
Sc2 0.255 0.745 0.381
Sc3 0.314 0.686 0.866
Sc4 0.457 0.543 0.674
Sc5 0.543 0.457 0.174
Sc6 0.686 0.314 0.366
Sc7 0.745 0.255 0.881
Sc8 0.859 0.141 0.505
Ag1 0.399 0.601 0.255
Ag2 0.601 0.399 0.755
```

Output
Total magnetization   0.00 μB/cell
E_form   60.8 meV/atom
Calculated volume   305.1 Å³ per cell

=====

Below is crystalline Mn2AlCl8 at its relaxed geometry, with properties calculated at the PBE level.

The structure in CIF format:
```
data_Mn2AlCl8
_cell_length_a 8.013
_cell_length_b 8.013
_cell_length_c 6.153
_cell_angle_alpha 90.73
_cell_angle_beta 90.73
_cell_angle_gamma 55.27
_symmetry_space_group_name_H-M 'P 1'
_symmetry_Int_Tables_number 1
loop_
_symmetry_equiv_pos_as_xyz
'x,y,z'
loop_
_atom_site_label
_atom_site_fract_x
_atom_site_fract_y
_atom_site_fract_z
Mn1 0.151 0.151 0.083
Mn2 0.849 0.849 0.917
Al1 0.000 0.000 0.500
Cl1 0.144 0.144 0.707
Cl2 0.154 0.716 0.723
Cl3 0.284 0.846 0.277
Cl4 0.303 0.303 0.140
Cl5 0.697 0.697 0.860
Cl6 0.716 0.154 0.723
Cl7 0.846 0.284 0.277
Cl8 0.856 0.856 0.293
```

Output
Formation energy from raw total energies   -1089 meV per atom
Total magnetization   9.00 μB/cell
Calculated volume   324.6 Å³ per cell

=====

Below is crystalline CsTc2Ag at its relaxed geometry, with properties calculated at the PBE level.

The structure in CIF format:
```
data_CsTc2Ag
_cell_length_a 11.013
_cell_length_b 11.013
_cell_length_c 11.013
_cell_angle_alpha 156.46
_cell_angle_beta 156.46
_cell_angle_gamma 33.53
_symmetry_space_group_name_H-M 'P 1'
_symmetry_Int_Tables_number 1
loop_
_symmetry_equiv_pos_as_xyz
'x,y,z'
loop_
_atom_site_label
_atom_site_fract_x
_atom_site_fract_y
_atom_site_fract_z
Cs1 0.000 0.000 0.000
Cs2 0.750 0.250 0.500
Tc1 0.300 0.125 0.675
Tc2 0.375 0.700 0.825
Tc3 0.450 0.625 0.325
Tc4 0.875 0.550 0.175
Ag1 0.250 0.750 0.500
Ag2 0.500 0.500 0.000
```

Output
Total magnetization   0.00 μB/cell
E_form   1491.4 meV/atom
Calculated volume   212.8 Å³ per cell

=====

Below is crystalline Th4BiAu at its relaxed geometry, with properties calculated at the PBE level.

The structure in CIF format:
```
data_Th4BiAu
_cell_length_a 8.892
_cell_length_b 8.892
_cell_length_c 7.651
_cell_angle_alpha 104.24
_cell_angle_beta 104.24
_cell_angle_gamma 41.53
_symmetry_space_group_name_H-M 'P 1'
_symmetry_Int_Tables_number 1
loop_
_symmetry_equiv_pos_as_xyz
'x,y,z'
loop_
_atom_site_label
_atom_site_fract_x
_atom_site_fract_y
_atom_site_fract_z
Th1 0.025 0.821 0.531
Th2 0.179 0.975 0.969
Th3 0.216 0.451 0.881
Th4 0.451 0.216 0.381
Th5 0.549 0.784 0.619
Th6 0.784 0.549 0.119
Th7 0.821 0.025 0.031
Th8 0.975 0.179 0.469
Bi1 0.403 0.597 0.250
Bi2 0.597 0.403 0.750
Au1 0.000 0.500 0.500
Au2 0.500 0.000 0.000
```

Output
Total magnetization   0.00 μB/cell
E_form   -116.6 meV/atom
Calculated volume   386.9 Å³ per cell

=====

Below is crystalline LiTl2As at its relaxed geometry, with properties calculated at the PBE level.

The structure in CIF format:
```
data_LiTl2As
_cell_length_a 5.205
_cell_length_b 5.205
_cell_length_c 5.205
_cell_angle_alpha 60.00
_cell_angle_beta 60.00
_cell_angle_gamma 60.00
_symmetry_space_group_name_H-M 'P 1'
_symmetry_Int_Tables_number 1
loop_
_symmetry_equiv_pos_as_xyz
'x,y,z'
loop_
_atom_site_label
_atom_site_fract_x
_atom_site_fract_y
_atom_site_fract_z
Li1 0.000 0.000 0.000
Tl1 0.250 0.250 0.250
Tl2 0.750 0.750 0.750
As1 0.500 0.500 0.500
```

Output
Total magnetization   0.00 μB/cell
E_form   -73.1 meV/atom
Calculated volume   99.7 Å³ per cell